This record from the Open Quantum Materials Database describes a relaxed structure of TaZnCuGe. The functional is GGA-PBE.

Geometry as POSCAR:
```
TaZnCuGe
1.0
0.000 3.138 3.138
3.138 0.000 3.138
3.138 3.138 0.000
Cu Ge Ta Zn
1 1 1 1
Direct
0.750 0.750 0.750
0.000 0.000 0.000
0.250 0.250 0.250
0.500 0.500 0.500
```

Summary:
Crystal system: cubic
Total DFT energy (no corrections) in eV per atom: -5.08